Below is a relaxed structure of ScRe, with properties calculated at the PBE level.

The structure in POSCAR format:
```
ScRe
1.0
9.487 0.000 0.000
-4.744 8.216 0.000
0.000 0.000 3.136
Sc Re
6 6
direct
0.095 0.312 0.250 Sc
0.217 0.905 0.250 Sc
0.312 0.217 0.750 Sc
0.688 0.783 0.250 Sc
0.783 0.095 0.750 Sc
0.905 0.688 0.750 Sc
0.116 0.588 0.250 Re
0.412 0.529 0.250 Re
0.471 0.884 0.250 Re
0.529 0.116 0.750 Re
0.588 0.471 0.750 Re
0.884 0.412 0.750 Re
```

## Properties
Space group: P6_3/m
Spin magnetization, μB per atom: 0.000
V, Å³ per atom: 20.37
DFT formation energy, eV per atom: 0.5907